1.
Below is a geometry-optimized TbFe5P3 structure, with properties calculated at the GGA-PBE level.

POSCAR file:
```
TbFe5P3
1.0
-7.7169 8.8272 1.2061
-0.7458 -1.1157 3.3939
7.4667 6.0324 3.6239
Fe P Tb
20 12 4
Cartesian
1.9851 8.8227 4.3177
-1.9454 2.5488 3.3538
-1.0913 11.1544 6.3705
6.1160 4.7066 5.8346
2.2691 9.9820 6.7235
-2.9811 4.9212 3.9061
0.0954 2.5895 1.8534
2.9263 2.9821 4.5668
-2.5450 12.6936 4.5947
-3.2650 3.7619 1.5003
1.5491 1.0503 3.6291
-3.9222 10.7618 3.6570
-7.1119 9.0373 2.3892
-0.0471 7.2583 5.3191
2.9190 5.2555 3.3503
-0.9489 6.4856 2.9047
2.3034 6.3661 5.5424
-3.2993 7.3778 2.6815
0.9495 11.1951 4.8700
-3.9150 8.4884 4.8736
-0.5897 0.6979 3.0433
-0.4063 13.0460 5.1806
2.0866 3.2500 2.5080
3.3229 8.1381 6.3489
-4.9093 9.0228 2.8685
-2.2517 6.8859 4.7123
0.3172 9.3466 6.0857
-1.3131 4.3973 2.1381
1.2558 6.8580 3.5116
-4.3189 5.6058 1.8749
3.9134 4.7211 5.3554
-3.0825 10.4939 5.7158
-1.2779 9.4373 3.8027
5.1037 7.0622 4.4243
0.2820 4.3066 4.4211
-6.0997 6.6817 3.7996
```

=====

2.
Below is a geometry-optimized Tb2Fe12P7 structure, with properties calculated at the GGA-PBE level.

POSCAR file:
```
Tb2Fe12P7
1.0
-5.5672 5.1396 -4.7926
-1.9270 -2.9424 -0.9169
-1.7003 -1.5850 8.6596
Tb Fe P
2 12 7
Cartesian
-4.2782 2.8979 -0.3082
-3.9530 -0.8144 3.7168
-3.6766 0.4145 6.3967
-6.8159 1.1551 3.4136
-1.7867 1.1644 0.0184
-4.4819 1.6222 -2.9906
-6.1325 3.3712 2.0701
-3.1645 -2.2856 6.7804
-4.0202 0.1424 0.7874
-1.0356 -0.3922 3.4349
-4.2563 1.9477 2.6951
-1.8777 -1.3135 0.9569
-7.2233 2.5159 -0.0973
-4.9148 4.1582 -3.0145
-1.8228 -0.5365 5.5523
0.0000 0.0000 0.0000
-6.4096 2.6409 -2.2083
-4.7988 1.6307 4.8523
-3.3817 0.4126 -1.4215
-5.9336 1.2264 1.3304
-2.3471 0.8763 2.1208
```

=====

3.
Below is a geometry-optimized Th5Fe19P12 structure, with properties calculated at the GGA-PBE level.

POSCAR file:
```
Th5Fe19P12
1.0
0.0000 3.7511 0.0000
-2.1027 0.0000 8.9579
14.4071 -1.8756 0.0339
P Fe Th
12 19 5
Cartesian
-0.1921 0.0000 2.4134
0.3283 0.0000 8.5142
6.9414 0.0000 3.1781
6.7569 0.0000 8.7050
12.4965 1.8756 6.5783
5.3630 1.8756 5.8136
1.5991 1.8756 5.6270
11.9761 1.8756 0.4775
10.7053 0.0000 3.3648
5.5475 1.8756 0.2868
8.6207 1.8756 5.8847
3.6837 0.0000 3.1070
0.4233 0.0000 6.3393
1.4691 1.8756 7.9813
13.3106 0.0000 1.3433
7.0271 1.8756 4.4494
3.4886 1.8756 4.4306
11.8811 1.8756 2.6525
-1.0062 1.8756 7.6484
5.5565 1.8756 8.0747
6.9545 0.0000 6.4664
10.8353 0.0000 1.0104
4.2115 0.0000 0.8919
5.2773 0.0000 4.5423
1.5790 0.0000 4.0914
10.7254 1.8756 4.9003
8.0929 1.8756 8.0998
8.8158 0.0000 4.5611
5.3499 1.8756 2.5253
6.7479 0.0000 0.9170
0.0000 0.0000 0.0000
1.9488 1.8756 1.7196
-1.0514 1.8756 4.4789
10.3556 0.0000 7.2721
8.8341 1.8756 2.0376
3.4703 0.0000 6.9541
```

=====

| no. | total DFT energy (no corrections) (eV per cell) |
| --- | --- |
| 1 | -276.23 |
| 2 | -161.72 |
| 3 | -286.98 |